Material: SmYEr4
Method: DFT, PBE
State: relaxed

Structure (POSCAR):
```
SmYEr4
1.0
6.5521 0.0000 0.0000
3.2761 5.6743 0.0000
3.2761 1.8914 5.3498
Y Sm Er
1 1 4
Cartesian
0.0000 0.0000 0.0000 Y
3.2761 1.8914 1.3374 Sm
6.5521 3.7829 0.6638 Er
6.5521 1.8868 3.3452 Er
8.1941 4.7309 3.3452 Er
4.9101 4.7309 3.3452 Er
```

Properties
Distance to the lowest polymorph of the same formula: 239 meV/atom
Energy of formation: 0.262 eV per atom

Material: La2Dy6Y3Sc
Method: DFT, PBE
State: relaxed

Structure (POSCAR):
```
La2Dy6Y3Sc
1.0
6.1648 -0.0019 0.0053
-3.0825 5.3388 0.0053
-1.0367 -1.7949 11.6363
La Dy Y Sc
2 6 3 1
Cartesian
0.0049 3.5557 0.0053 La
3.0774 1.7812 0.0053 La
3.0650 1.7878 8.7195 Dy
2.0622 3.5707 2.9368 Dy
-1.0194 1.7542 2.9274 Dy
0.0167 3.5483 8.7195 Dy
-0.0166 -0.0288 8.7101 Dy
2.0289 -0.0063 2.9274 Dy
-2.0645 3.5540 5.8235 Y
4.1101 -0.0121 5.8235 Y
1.0228 1.7710 5.8235 Y
0.0000 0.0000 0.0000 Sc
```

Properties
Energy of formation: 0.032 eV per atom

Material: ErPuCu
Method: DFT, PBE
State: relaxed

Structure (POSCAR):
```
ErPuCu
1.0
6.6958 0.0000 0.0000
0.0000 6.0112 0.3197
0.0000 -0.9581 7.0971
Cu Er Pu
4 4 4
Cartesian
3.6244 3.2766 2.6649 Cu
6.4193 2.7976 6.2135 Cu
0.2765 2.2555 1.2033 Cu
3.0714 1.7765 4.7518 Cu
5.6528 5.0338 1.4932 Er
4.3910 4.5548 5.0418 Er
2.3049 0.4983 2.3750 Er
1.0431 0.0193 5.9235 Er
2.3106 4.0828 0.2495 Pu
1.0373 3.6038 3.7980 Pu
5.6585 1.4493 3.6187 Pu
4.3853 0.9702 7.1673 Pu
```

Properties
Distance to the lowest polymorph of the same formula: 48 meV/atom
Energy of formation: 0.067 eV per atom